Entry 1:
Computed, not measured: a geometry-optimized LaHoN structure at the PBE level of DFT.

Results
Its uncorrected energy is -6.2571 eV/atom. Its volume is 59.09 Å³/f.u. Its space-group type is F-43m (216). The calculation puts the density of states at the Fermi level at 0.50 states/eV per atom. The calculated density is 8.93 g/cm³. The value obtained for the uncorrected formation energy is -0.3136 eV/atom.

a b c (Å): 4.372 4.372 4.372
angles (deg): 60.00 60.00 60.00
Positions (direct):
Ho 0.500 0.500 0.500
N 0.250 0.250 0.250
La 0.000 0.000 0.000

Entry 2:
Computed, not measured: a geometry-optimized Ga5Co4Ag structure at the PBE level of DFT.

Results
For the formation energy, the calculation gives -0.200 eV/atom. Its uncorrected energy is -4.8406 eV/atom. Its volume is 130.42 Å³/f.u. Its space-group type is P4/mmm (123). The calculation puts the density of states at the Fermi level at 0.56 states/eV per atom. The calculated density is 8.81 g/cm³.

a b c (Å): 2.816 2.816 16.446
angles (deg): 90.00 90.00 90.00
Positions (direct):
Ga 0.500 0.500 0.683
Ag 0.000 0.000 0.000
Co 0.000 0.000 0.775
Co 0.000 0.000 0.591
Ga 0.500 0.500 0.133
Ga 0.500 0.500 0.500
Co 0.000 0.000 0.409
Ga 0.500 0.500 0.317
Co 0.000 0.000 0.225
Ga 0.500 0.500 0.867

Entry 3:
Computed, not measured: a geometry-optimized Mn2Cr2Hg structure at the PBE level of DFT.

Results
For the formation energy, the calculation gives 0.484 eV/atom. Its uncorrected energy is -7.0940 eV/atom. Its volume is 66.85 Å³/f.u. Its space-group type is P4/mbm (127). The calculation puts the density of states at the Fermi level at 1.51 states/eV per atom. The calculated density is 10.29 g/cm³.

a b c (Å): 7.034 7.034 2.702
angles (deg): 90.00 90.00 90.00
Positions (direct):
Cr 0.634 0.134 0.000
Hg 0.500 0.500 0.000
Cr 0.134 0.366 0.000
Hg 0.000 0.000 0.000
Mn 0.353 0.147 0.500
Mn 0.853 0.353 0.500
Cr 0.366 0.866 0.000
Mn 0.647 0.853 0.500
Mn 0.147 0.647 0.500
Cr 0.866 0.634 0.000

Entry 4:
Computed, not measured: a geometry-optimized ScSn2Ir structure at the PBE level of DFT.

Results
For the formation energy, the calculation gives -0.252 eV/atom. Its uncorrected energy is -6.0514 eV/atom. Its volume is 89.45 Å³/f.u. Its space-group type is I-42d (122). The calculation puts the density of states at the Fermi level at 0.43 states/eV per atom. The calculated density is 8.81 g/cm³.

a b c (Å): 7.863 7.863 6.268
angles (deg): 51.15 51.15 90.00
Positions (direct):
Sn 0.080 0.625 0.250
Sn 0.875 0.920 0.750
Sn 0.375 0.330 0.750
Ir 0.000 0.000 0.000
Sc 0.250 0.750 0.500
Ir 0.750 0.250 0.500
Sn 0.670 0.125 0.250
Sc 0.500 0.500 0.000

Entry 5:
Computed, not measured: a geometry-optimized Pr8P3PtBr4 structure at the PBE level of DFT.

Results
Its uncorrected energy is -5.6008 eV/atom. Its volume is 455.61 Å³/f.u. Its space-group type is R-3m (166). The calculation puts the density of states at the Fermi level at 0.52 states/eV per atom. The calculated density is 6.32 g/cm³. The value obtained for the uncorrected formation energy is -1.4010 eV/atom.

a b c (Å): 8.462 8.822 8.463
angles (deg): 118.66 120.00 90.00
Positions (direct):
Pr 0.265 0.292 0.029
Pr 0.735 0.708 0.971
P 0.000 0.500 0.500
Pt 0.000 0.500 0.000
Br 0.500 0.000 0.000
Pr 0.236 0.708 0.473
Pr 0.265 0.295 0.530
Pr 0.764 0.292 0.527
Pr 0.236 0.708 0.971
Br 0.000 0.000 0.000
Br 0.500 0.000 0.500
Br 0.000 0.000 0.500
P 0.500 0.500 0.000
P 0.500 0.500 0.500
Pr 0.764 0.292 0.029
Pr 0.735 0.705 0.470

Entry 6:
Computed, not measured: a geometry-optimized ThMnI6 structure at the PBE level of DFT.

Results
Its uncorrected energy is -4.1539 eV/atom. Its volume is 414.74 Å³/f.u. Its space-group type is C2/m (12). The calculated density is 4.20 g/cm³. The value obtained for the uncorrected formation energy is -0.9176 eV/atom.

a b c (Å): 8.103 8.103 7.325
angles (deg): 89.94 89.94 120.43
Last column: magnetic moment on the atom in μB.
Positions (direct):
I 0.294 0.001 0.233  0.03
I 0.706 0.999 0.767  0.03
I 0.295 0.295 0.766  0.03
I 0.705 0.705 0.234  0.03
Mn 0.000 0.000 0.000  4.32
I 0.999 0.706 0.767  0.03
I 0.001 0.294 0.233  0.03
Th 0.000 0.000 0.500  0.03

Entry 7:
Computed, not measured: a geometry-optimized Hf2Zn2Ga3 structure at the PBE level of DFT.

Results
For the formation energy, the calculation gives -0.253 eV/atom. Its uncorrected energy is -4.7578 eV/atom. Its volume is 120.06 Å³/f.u. Its space-group type is C2/m (12). The calculation puts the density of states at the Fermi level at 0.36 states/eV per atom. The calculated density is 9.64 g/cm³.

a b c (Å): 3.954 6.678 5.248
angles (deg): 109.13 112.13 90.00
Positions (direct):
Hf 0.651 0.801 0.301
Ga 0.343 0.757 0.686
Ga 0.000 0.000 0.000
Zn 0.897 0.562 0.795
Zn 0.103 0.438 0.205
Hf 0.349 0.199 0.699
Ga 0.657 0.243 0.314

Entry 8:
Computed, not measured: a geometry-optimized PrCd2InPd4 structure at the PBE level of DFT.

Results
For the formation energy, the calculation gives -0.536 eV/atom. Its uncorrected energy is -4.3006 eV/atom. Its volume is 154.51 Å³/f.u. Its space-group type is R-3m (166). The calculation puts the density of states at the Fermi level at 0.48 states/eV per atom. The calculated density is 9.74 g/cm³.

a b c (Å): 4.780 4.780 8.281
angles (deg): 73.22 73.22 60.00
Positions (direct):
Pd 0.616 0.616 0.153
Cd 0.750 0.750 0.751
In 0.500 0.500 0.500
Pr 0.000 0.000 0.000
Pd 0.129 0.129 0.612
Pd 0.384 0.384 0.847
Cd 0.250 0.250 0.249
Pd 0.871 0.871 0.388

Entry 9:
Computed, not measured: a geometry-optimized Si3NiSe structure at the PBE level of DFT.

Results
Its uncorrected energy is -4.8110 eV/atom. Its volume is 87.90 Å³/f.u. Its space-group type is Pm-3m (221). The calculation puts the density of states at the Fermi level at 0.52 states/eV per atom. The calculated density is 4.19 g/cm³. The value obtained for the uncorrected formation energy is 0.2960 eV/atom.

a b c (Å): 4.446 4.446 4.446
angles (deg): 90.00 90.00 90.00
Positions (direct):
Si 0.500 0.000 0.000
Si 0.000 0.000 0.500
Se 0.500 0.500 0.500
Si 0.000 0.500 0.000
Ni 0.000 0.000 0.000

Entry 10:
Computed, not measured: a geometry-optimized USi3Pd5 structure at the PBE level of DFT.

Results
Its uncorrected energy is -6.4340 eV/atom. Its volume is 144.21 Å³/f.u. Its space-group type is Cmcm (63). The calculation puts the density of states at the Fermi level at 0.82 states/eV per atom. The calculated density is 9.84 g/cm³. The value obtained for the uncorrected formation energy is -0.4871 eV/atom.

a b c (Å): 2.946 6.883 14.562
angles (deg): 90.00 90.00 102.36
Last column: magnetic moment on the atom in μB.
Positions (direct):
Pd 0.472 0.944 0.159  0.02
Pd 0.528 0.056 0.659  0.02
Pd 0.000 0.000 0.000  0.02
Pd 0.806 0.611 0.075  0.02
Si 0.368 0.737 0.562  -0.01
Si 0.142 0.284 0.750  -0.01
U 0.840 0.680 0.750  2.58
Si 0.632 0.263 0.438  -0.01
Pd 0.472 0.944 0.341  0.02
Si 0.632 0.263 0.062  -0.01
Si 0.858 0.716 0.250  -0.01
Pd 0.528 0.056 0.841  0.02
U 0.160 0.320 0.250  2.58
Pd 0.806 0.611 0.425  0.02
Pd 0.194 0.389 0.925  0.02
Pd 0.000 0.000 0.500  0.02
Pd 0.194 0.389 0.575  0.02
Si 0.368 0.737 0.938  -0.01

Entry 11:
Computed, not measured: a geometry-optimized HfNbTeI2 structure at the PBE level of DFT.

Results
Its uncorrected energy is -4.6054 eV/atom. Its volume is 175.44 Å³/f.u. Its space-group type is P4/mmm (123). The calculation puts the density of states at the Fermi level at 1.69 states/eV per atom. The calculated density is 6.18 g/cm³. The value obtained for the uncorrected formation energy is 0.6476 eV/atom.

a b c (Å): 5.582 5.582 5.631
angles (deg): 90.00 90.00 90.00
Last column: magnetic moment on the atom in μB.
Positions (direct):
Te 0.000 0.000 0.500  -0.06
Hf 0.000 0.000 0.000  0.16
I 0.500 0.000 0.000  0.00
I 0.000 0.500 0.000  0.00
Nb 0.500 0.500 0.500  3.08

Question: Which formula does entry 8 have?
Answer: PrCd2InPd4

Please write out number 9 again, unchanged.
Computed, not measured: a geometry-optimized Si3NiSe structure at the PBE level of DFT.

Results
Its uncorrected energy is -4.8110 eV/atom. Its volume is 87.90 Å³/f.u. Its space-group type is Pm-3m (221). The calculation puts the density of states at the Fermi level at 0.52 states/eV per atom. The calculated density is 4.19 g/cm³. The value obtained for the uncorrected formation energy is 0.2960 eV/atom.

a b c (Å): 4.446 4.446 4.446
angles (deg): 90.00 90.00 90.00
Positions (direct):
Si 0.500 0.000 0.000
Si 0.000 0.000 0.500
Se 0.500 0.500 0.500
Si 0.000 0.500 0.000
Ni 0.000 0.000 0.000

Question: Which of these has the highest calculated density?
Answer: Mn2Cr2Hg

Question: uncorrected energy of number 3 (Mn2Cr2Hg)?
Answer: -7.0940 eV/atom